Record 1
A relaxed structure of LiGePbCl2, computed with GGA-PBE.

Structure (POSCAR):
```
LiGePbCl2
1.0
5.134 0.000 0.000
0.000 5.134 0.000
0.000 0.000 5.836
Li Ge Pb Cl
1 1 1 2
Direct
0.000 0.000 0.000
0.500 0.500 0.500
0.500 0.500 0.000
0.000 0.500 0.500
0.500 0.000 0.500
```

## Properties
Distance to the lowest polymorph of the same formula, meV per atom: 0
Space-group type: P4/mmm, No. 123
E_tot, eV per atom: -3.04
E_form (uncorrected), eV/atom: -0.252

---

Record 2
A relaxed structure of LiGePb2Cl, computed with GGA-PBE.

Structure (POSCAR):
```
LiGePb2Cl
1.0
5.391 0.000 0.000
0.000 5.391 0.000
0.000 0.000 4.482
Li Ge Pb Cl
1 1 2 1
Direct
0.000 0.000 0.000
0.000 0.000 0.500
0.000 0.500 0.000
0.500 0.000 0.000
0.500 0.500 0.500
```

## Properties
Space-group type: P4/mmm, No. 123
E_tot, eV per atom: -3.09
E_form (uncorrected), eV/atom: 0.067

---

Record 3
A relaxed structure of LiGePbCl2, computed with GGA-PBE.

Structure (POSCAR):
```
LiGePbCl2
1.0
5.589 0.000 0.000
0.000 5.589 0.000
0.000 0.000 5.755
Li Ge Pb Cl
1 1 1 2
Direct
0.000 0.000 0.000
0.500 0.500 0.000
0.000 0.000 0.500
0.000 0.500 0.500
0.500 0.000 0.500
```

## Properties
Distance to the lowest polymorph of the same formula, meV per atom: 323
Space-group type: P4/mmm, No. 123
E_tot, eV per atom: -2.72
E_form (uncorrected), eV/atom: 0.071

---

Record 4
A relaxed structure of Li2GePdCl, computed with GGA-PBE.

Structure (POSCAR):
```
Li2GePdCl
1.0
5.234 0.000 0.000
0.000 5.234 0.000
0.000 0.000 4.536
Li Ge Pd Cl
2 1 1 1
Direct
0.000 0.500 0.000
0.500 0.000 0.000
0.000 0.000 0.000
0.000 0.000 0.500
0.500 0.500 0.500
```

## Properties
Space-group type: P4/mmm, No. 123
E_tot, eV per atom: -3.22
E_form (uncorrected), eV/atom: -0.118

---

Record 5
A relaxed structure of RbLiGe2Cl6, computed with GGA-PBE.

Structure (POSCAR):
```
RbLiGe2Cl6
1.0
5.743 -7.494 0.000
5.743 7.494 0.000
-4.601 0.000 8.331
Rb Li Ge Cl
2 2 4 12
Direct
0.083 0.917 0.750
0.917 0.083 0.250
0.217 0.783 0.250
0.783 0.217 0.750
0.270 0.443 0.818
0.443 0.270 0.318
0.557 0.730 0.682
0.730 0.557 0.182
0.004 0.224 0.659
0.182 0.605 0.986
0.224 0.004 0.159
0.302 0.355 0.469
0.355 0.302 0.969
0.395 0.818 0.514
0.605 0.182 0.486
0.645 0.698 0.031
0.698 0.645 0.531
0.776 0.996 0.841
0.818 0.395 0.014
0.996 0.776 0.341
```

## Properties
Space-group type: C2/c, No. 15
E_tot, eV per atom: -3.54
E_form (uncorrected), eV/atom: -1.224

---

Record 6
A relaxed structure of RbLiGeCl4, computed with GGA-PBE.

Structure (POSCAR):
```
RbLiGeCl4
1.0
6.493 0.000 0.000
0.000 7.079 0.000
-3.066 0.000 9.160
Rb Li Ge Cl
2 2 2 8
Direct
0.227 0.250 0.450
0.773 0.750 0.550
0.055 0.250 0.815
0.945 0.750 0.185
0.294 0.750 0.964
0.706 0.250 0.036
0.090 0.250 0.074
0.235 0.750 0.394
0.283 0.510 0.790
0.283 0.990 0.790
0.717 0.010 0.210
0.717 0.490 0.210
0.765 0.250 0.606
0.910 0.750 0.926
```

## Properties
Space-group type: P2_1/m, No. 11
E_tot, eV per atom: -3.54
E_form (uncorrected), eV/atom: -1.413

---

Record 7
A relaxed structure of Rb4LiGe3Cl12, computed with GGA-PBE.

Structure (POSCAR):
```
Rb4LiGe3Cl12
1.0
-5.182 5.182 5.182
5.182 -5.182 5.182
5.182 5.182 -5.182
Rb Li Ge Cl
4 1 3 12
Direct
0.000 0.000 0.500
0.000 0.500 0.000
0.500 0.000 0.000
0.500 0.500 0.500
0.000 0.000 0.000
0.000 0.500 0.500
0.500 0.000 0.500
0.500 0.500 0.000
0.000 0.254 0.254
0.000 0.746 0.746
0.250 0.500 0.750
0.250 0.750 0.500
0.254 0.000 0.254
0.254 0.254 0.000
0.500 0.250 0.750
0.500 0.750 0.250
0.746 0.000 0.746
0.746 0.746 0.000
0.750 0.250 0.500
0.750 0.500 0.250
```

## Properties
Space-group type: Im-3m, No. 229
E_tot, eV per atom: -3.45
E_form (uncorrected), eV/atom: -1.365

---

Record 8
A relaxed structure of Rb2LiGeCl6, computed with GGA-PBE.

Structure (POSCAR):
```
Rb2LiGeCl6
1.0
-3.764 3.764 4.547
3.764 -3.764 4.547
3.764 3.764 -4.547
Rb Li Ge Cl
2 1 1 6
Direct
0.250 0.750 0.500
0.750 0.250 0.500
0.000 0.000 0.000
0.500 0.500 0.000
0.240 0.240 0.000
0.264 0.264 0.528
0.264 0.736 0.000
0.736 0.264 0.000
0.736 0.736 0.472
0.760 0.760 0.000
```

## Properties
Space-group type: I4/mmm, No. 139
E_tot, eV per atom: -3.36
E_form (uncorrected), eV/atom: -1.401